Here is a relaxed structure of Nd3Au4 from Alexandria via LeMat-Bulk. Energies are from PBEsol.

a = 8.1663 Å, b = 8.1663 Å, c = 8.1663 Å
α = 114.11°, β = 114.11°, γ = 114.11°
Closest atoms and distances in Å follow each position.
Atoms (fractional coordinates):
Nd 0.0172 0.3998 0.2743  8 Au 2.93-3.26
Nd 0.2742 0.0172 0.3998  8 Au 2.93-3.26
Nd 0.3998 0.2743 0.0172  8 Au 2.93-3.26
Nd 0.6002 0.7258 0.9828  8 Au 2.93-3.26
Nd 0.7258 0.9828 0.6002  8 Au 2.93-3.26
Nd 0.9828 0.6002 0.7258  8 Au 2.93-3.26
Au 0.0000 0.0000 0.0000  6 Nd 3.01, 2 Au 3.02
Au 0.0674 0.2290 0.5607  6 Nd 2.93-3.26, 3 Au 2.98-3.11
Au 0.2290 0.5607 0.0674  6 Nd 2.93-3.26, 3 Au 2.98-3.11
Au 0.4393 0.9326 0.7710  6 Nd 2.93-3.26, 3 Au 2.98-3.11
Au 0.5000 0.5000 0.5000  2 Au 3.02, 6 Nd 3.13
Au 0.5607 0.0674 0.2290  6 Nd 2.93-3.26, 3 Au 2.98-3.11
Au 0.7710 0.4393 0.9326  6 Nd 2.93-3.26, 3 Au 2.98-3.11
Au 0.9326 0.7710 0.4393  6 Nd 2.93-3.26, 3 Au 2.98-3.11

- Crystal system: trigonal
- Symmetry: No. 148
- Total moment: 0.0 μB per formula unit
- Calculated total energy: -5.25 eV per atom